# 1
A plane-wave DFT calculation with GGA+U was carried out for a relaxed Li5Mn2Co2P4O16 crystal.

Output
As for the density of states at the Fermi level: 7.23 states/eV/cell.

Cell: 4.862 6.232 10.478 Å, 87.62 88.74 89.33°
Space group P1 (No. 1)
Symmetry-distinct sites (fractional):
Li: 0.000 0.000 0.000 (multiplicity 1)
Li: 0.017 0.496 0.998 (multiplicity 1)
Li: 0.399 0.013 0.371 (multiplicity 1)
Li: 0.508 0.494 0.498 (multiplicity 1)
Li: 0.626 0.970 0.627 (multiplicity 1)
Mn: 0.064 0.712 0.718 (multiplicity 1)
Mn: 0.962 0.271 0.280 (multiplicity 1)
Co: 0.477 0.724 0.205 (multiplicity 1)
Co: 0.547 0.260 0.793 (multiplicity 1)
P: 0.118 0.232 0.592 (multiplicity 1)
P: 0.422 0.238 0.097 (multiplicity 1)
P: 0.603 0.744 0.901 (multiplicity 1)
P: 0.907 0.752 0.406 (multiplicity 1)
O: 0.222 0.738 0.395 (multiplicity 1)
O: 0.223 0.253 0.450 (multiplicity 1)
O: 0.237 0.019 0.652 (multiplicity 1)
O: 0.259 0.421 0.661 (multiplicity 1)
O: 0.281 0.440 0.157 (multiplicity 1)
O: 0.286 0.730 0.900 (multiplicity 1)
O: 0.303 0.222 0.961 (multiplicity 1)
O: 0.306 0.045 0.182 (multiplicity 1)
O: 0.718 0.939 0.816 (multiplicity 1)
O: 0.721 0.760 0.037 (multiplicity 1)
O: 0.739 0.249 0.097 (multiplicity 1)
O: 0.747 0.543 0.841 (multiplicity 1)
O: 0.766 0.563 0.336 (multiplicity 1)
O: 0.788 0.965 0.345 (multiplicity 1)
O: 0.802 0.731 0.548 (multiplicity 1)
O: 0.803 0.244 0.603 (multiplicity 1)


# 2
A plane-wave DFT calculation with GGA+U was carried out for a relaxed Li5Mn3Co2P6O24 crystal.

Cell: 8.237 8.296 8.772 Å, 115.74 95.02 116.01°
Space group P1 (No. 1)
Symmetry-distinct sites (fractional):
Li: 0.000 0.000 0.000 (multiplicity 1)
Li: 0.057 0.800 0.325 (multiplicity 1)
Li: 0.153 0.297 0.351 (multiplicity 1)
Li: 0.644 0.867 0.075 (multiplicity 1)
Li: 0.934 0.207 0.831 (multiplicity 1)
Mn: 0.203 0.654 0.877 (multiplicity 1)
Mn: 0.481 0.026 0.552 (multiplicity 1)
Mn: 0.694 0.625 0.376 (multiplicity 1)
Co: 0.347 0.337 0.723 (multiplicity 1)
Co: 0.819 0.304 0.174 (multiplicity 1)
P: 0.092 0.877 0.673 (multiplicity 1)
P: 0.265 0.545 0.175 (multiplicity 1)
P: 0.421 0.128 0.250 (multiplicity 1)
P: 0.570 0.803 0.740 (multiplicity 1)
P: 0.792 0.543 0.952 (multiplicity 1)
P: 0.883 0.107 0.459 (multiplicity 1)
O: 0.023 0.014 0.784 (multiplicity 1)
O: 0.089 0.355 0.165 (multiplicity 1)
O: 0.097 0.285 0.581 (multiplicity 1)
O: 0.178 0.813 0.781 (multiplicity 1)
O: 0.232 0.115 0.201 (multiplicity 1)
O: 0.235 0.489 0.972 (multiplicity 1)
O: 0.243 0.015 0.611 (multiplicity 1)
O: 0.266 0.746 0.293 (multiplicity 1)
O: 0.424 0.934 0.117 (multiplicity 1)
O: 0.431 0.656 0.802 (multiplicity 1)
O: 0.448 0.843 0.635 (multiplicity 1)
O: 0.455 0.565 0.242 (multiplicity 1)
O: 0.469 0.183 0.450 (multiplicity 1)
O: 0.587 0.355 0.815 (multiplicity 1)
O: 0.596 0.317 0.253 (multiplicity 1)
O: 0.640 0.674 0.614 (multiplicity 1)
O: 0.727 0.014 0.915 (multiplicity 1)
O: 0.751 0.110 0.574 (multiplicity 1)
O: 0.813 0.754 0.009 (multiplicity 1)
O: 0.829 0.522 0.120 (multiplicity 1)
O: 0.841 0.140 0.304 (multiplicity 1)
O: 0.861 0.888 0.379 (multiplicity 1)
O: 0.938 0.669 0.488 (multiplicity 1)
O: 0.940 0.513 0.861 (multiplicity 1)


# 3
A plane-wave DFT calculation with GGA+U was carried out for a relaxed Li2MnCoP2O8 crystal.

Output
As for the density of states at the Fermi level: 0.00 states/eV/cell.

Cell: 4.775 6.075 10.454 Å, 90.09 90.02 90.01°
Space group P1 (No. 1)
Symmetry-distinct sites (fractional):
Li: 0.000 0.000 0.000 (multiplicity 1)
Li: 0.001 0.499 0.999 (multiplicity 1)
Li: 0.497 0.502 0.498 (multiplicity 1)
Li: 0.500 0.000 0.500 (multiplicity 1)
Mn: 0.019 0.751 0.722 (multiplicity 1)
Mn: 0.981 0.250 0.278 (multiplicity 1)
Co: 0.479 0.750 0.217 (multiplicity 1)
Co: 0.525 0.251 0.780 (multiplicity 1)
P: 0.091 0.250 0.598 (multiplicity 1)
P: 0.420 0.250 0.089 (multiplicity 1)
P: 0.581 0.749 0.910 (multiplicity 1)
P: 0.910 0.750 0.403 (multiplicity 1)
O: 0.206 0.253 0.459 (multiplicity 1)
O: 0.226 0.451 0.669 (multiplicity 1)
O: 0.231 0.750 0.396 (multiplicity 1)
O: 0.233 0.046 0.664 (multiplicity 1)
O: 0.260 0.750 0.908 (multiplicity 1)
O: 0.288 0.046 0.160 (multiplicity 1)
O: 0.288 0.453 0.161 (multiplicity 1)
O: 0.295 0.250 0.952 (multiplicity 1)
O: 0.708 0.748 0.048 (multiplicity 1)
O: 0.713 0.953 0.840 (multiplicity 1)
O: 0.714 0.546 0.839 (multiplicity 1)
O: 0.742 0.249 0.092 (multiplicity 1)
O: 0.769 0.247 0.604 (multiplicity 1)
O: 0.770 0.548 0.333 (multiplicity 1)
O: 0.771 0.953 0.334 (multiplicity 1)
O: 0.793 0.749 0.541 (multiplicity 1)


# 4
A plane-wave DFT calculation with GGA+U was carried out for a relaxed Li4Mn3Co2Sb3O16 crystal.

Cell: 10.478 6.055 9.838 Å, 90.00 91.00 90.00°
Space group Cm (No. 8)
Symmetry-distinct sites (fractional):
Li: 0.000 0.000 0.000 (multiplicity 2)
Li: 0.019 0.000 0.518 (multiplicity 2)
Li: 0.159 0.500 0.102 (multiplicity 2)
Li: 0.322 0.000 0.636 (multiplicity 2)
Mn: 0.071 0.253 0.791 (multiplicity 4)
Mn: 0.160 0.000 0.290 (multiplicity 2)
Co: 0.146 0.500 0.529 (multiplicity 2)
Co: 0.319 0.000 0.986 (multiplicity 2)
Sb: 0.318 0.500 0.789 (multiplicity 2)
Sb: 0.406 0.248 0.291 (multiplicity 4)
O: 0.006 0.500 0.679 (multiplicity 2)
O: 0.071 0.235 0.397 (multiplicity 4)
O: 0.146 0.000 0.895 (multiplicity 2)
O: 0.156 0.500 0.899 (multiplicity 2)
O: 0.227 0.273 0.671 (multiplicity 4)
O: 0.247 0.226 0.180 (multiplicity 4)
O: 0.325 0.000 0.404 (multiplicity 2)
O: 0.339 0.500 0.406 (multiplicity 2)
O: 0.410 0.264 0.903 (multiplicity 4)
O: 0.477 0.000 0.175 (multiplicity 2)
O: 0.486 0.500 0.694 (multiplicity 2)
O: 0.491 0.500 0.185 (multiplicity 2)


# 5
A plane-wave DFT calculation with GGA+U was carried out for a relaxed Li4Mn3Co3Sb2O16 crystal.

Cell: 10.399 5.837 9.693 Å, 90.00 90.75 90.00°
Space group Cm (No. 8)
Symmetry-distinct sites (fractional):
Li: 0.000 0.000 0.000 (multiplicity 2)
Li: 0.014 0.000 0.495 (multiplicity 2)
Li: 0.172 0.500 0.082 (multiplicity 2)
Li: 0.355 0.000 0.585 (multiplicity 2)
Mn: 0.093 0.253 0.773 (multiplicity 4)
Mn: 0.183 0.000 0.273 (multiplicity 2)
Co: 0.337 0.500 0.772 (multiplicity 2)
Co: 0.432 0.233 0.274 (multiplicity 4)
Sb: 0.196 0.500 0.500 (multiplicity 2)
Sb: 0.337 0.000 0.999 (multiplicity 2)
O: 0.005 0.000 0.685 (multiplicity 2)
O: 0.019 0.000 0.187 (multiplicity 2)
O: 0.038 0.500 0.635 (multiplicity 2)
O: 0.106 0.245 0.392 (multiplicity 4)
O: 0.165 0.000 0.895 (multiplicity 2)
O: 0.177 0.500 0.870 (multiplicity 2)
O: 0.262 0.219 0.146 (multiplicity 4)
O: 0.267 0.278 0.645 (multiplicity 4)
O: 0.341 0.000 0.380 (multiplicity 2)
O: 0.355 0.500 0.391 (multiplicity 2)
O: 0.414 0.258 0.894 (multiplicity 4)
O: 0.491 0.000 0.130 (multiplicity 2)


# 6
A plane-wave DFT calculation with GGA+U was carried out for a relaxed Li4Mn2Co3Sn3O16 crystal.

Output
As for the density of states at the Fermi level: 2.35 states/eV/cell.

Cell: 10.532 6.018 9.468 Å, 90.00 90.27 90.00°
Space group Cm (No. 8)
Symmetry-distinct sites (fractional):
Li: 0.000 0.000 0.000 (multiplicity 2)
Li: 0.043 0.500 0.440 (multiplicity 2)
Li: 0.158 0.500 0.896 (multiplicity 2)
Li: 0.317 0.000 0.512 (multiplicity 2)
Mn: 0.339 0.000 0.909 (multiplicity 2)
Mn: 0.497 0.500 0.413 (multiplicity 2)
Co: 0.083 0.244 0.688 (multiplicity 4)
Co: 0.489 0.000 0.181 (multiplicity 2)
Sn: 0.244 0.248 0.192 (multiplicity 4)
Sn: 0.336 0.500 0.681 (multiplicity 2)
O: 0.000 0.500 0.791 (multiplicity 2)
O: 0.005 0.000 0.791 (multiplicity 2)
O: 0.071 0.258 0.301 (multiplicity 4)
O: 0.137 0.000 0.546 (multiplicity 2)
O: 0.150 0.500 0.086 (multiplicity 2)
O: 0.157 0.500 0.592 (multiplicity 2)
O: 0.180 0.000 0.057 (multiplicity 2)
O: 0.253 0.245 0.801 (multiplicity 4)
O: 0.336 0.500 0.299 (multiplicity 2)
O: 0.340 0.000 0.301 (multiplicity 2)
O: 0.407 0.214 0.057 (multiplicity 4)
O: 0.426 0.277 0.540 (multiplicity 4)


| no. | final energy (eV per atom) |
| --- | --- |
| 1 | -6.74 |
| 2 | -6.86 |
| 3 | -6.90 |
| 4 | -6.16 |
| 5 | -6.27 |
| 6 | -6.10 |